DFT (PBE) results for a relaxed structure of CeCuSi2Au.

Calculated values
Its uncorrected formation energy is -0.578 eV/atom.

Cell and atoms, written as CIF:
```
data_CeCuSi2Au
_chemical_formula_sum 'Ce2 Cu2 Si4 Au2'
_space_group_name_H-M_alt 'I -4 m 2'
_space_group_IT_number 119
_space_group_name_Hall 'I -4 -2'
_cell_length_a 4.1758
_cell_length_b 4.1758
_cell_length_c 10.2198
_cell_angle_alpha 90.00
_cell_angle_beta 90.00
_cell_angle_gamma 90.00
loop_
_atom_site_label
_atom_site_type_symbol
_atom_site_fract_x
_atom_site_fract_y
_atom_site_fract_z
Ce1 Ce 0.0000 0.0000 0.0000
Cu1 Cu 0.0000 0.5000 0.7500
Si1 Si 0.0000 0.0000 0.3856
Au1 Au 0.0000 0.5000 0.2500
```


DFT (PBE) results for a relaxed structure of InPt2Cl.

Calculated values
Its uncorrected formation energy is 0.090 eV/atom. For the distance to the lowest polymorph of the same formula, the calculation gives 195 meV/atom.

Cell and atoms, written as CIF:
```
data_InPt2Cl
_chemical_formula_sum 'In4 Pt8 Cl4'
_space_group_name_H-M_alt 'I -4 2 d'
_space_group_IT_number 122
_space_group_name_Hall 'I -4 2bw'
_cell_length_a 4.0486
_cell_length_b 4.0486
_cell_length_c 18.8734
_cell_angle_alpha 90.00
_cell_angle_beta 90.00
_cell_angle_gamma 90.00
loop_
_atom_site_label
_atom_site_type_symbol
_atom_site_fract_x
_atom_site_fract_y
_atom_site_fract_z
In1 In 0.0000 0.0000 0.0000
Pt1 Pt 0.2467 0.2500 0.1250
Cl1 Cl 0.0000 0.0000 0.5000
```


DFT (PBE) results for a relaxed structure of Cr2RuPb.

Calculated values
For the calculated formation energy, the calculation gives 0.563 eV per atom.

Cell and atoms, written as CIF:
```
data_Cr2RuPb
_chemical_formula_sum 'Cr4 Ru2 Pb2'
_space_group_name_H-M_alt 'C 1 2/m 1'
_space_group_IT_number 12
_cell_length_a 9.1367
_cell_length_b 2.9881
_cell_length_c 4.8341
_cell_angle_alpha 90.00
_cell_angle_beta 101.87
_cell_angle_gamma 90.00
loop_
_space_group_symop_operation_xyz
'x,y,z'
'-x,-y,-z'
'-x,y,-z'
'x,-y,z'
'x+1/2,y+1/2,z'
'-x+1/2,-y+1/2,-z'
'-x+1/2,y+1/2,-z'
'x+1/2,-y+1/2,z'
loop_
_atom_site_label
_atom_site_type_symbol
_atom_site_fract_x
_atom_site_fract_y
_atom_site_fract_z
Cr1 Cr 0.2391 0.0000 0.1657
Ru1 Ru 0.0000 0.5000 0.0000
Pb1 Pb 0.0000 0.0000 0.5000
```


DFT (PBE) results for a relaxed structure of HoZn2Au3.

Calculated values
For the calculated formation energy, the calculation gives -0.518 eV per atom.

Cell and atoms, written as CIF:
```
data_HoZn2Au3
_chemical_formula_sum 'Ho2 Zn4 Au6'
_space_group_name_H-M_alt 'P 63/m m c'
_space_group_IT_number 194
_space_group_name_Hall '-P 6c 2c'
_cell_length_a 4.5408
_cell_length_b 4.5408
_cell_length_c 12.6847
_cell_angle_alpha 90.00
_cell_angle_beta 90.00
_cell_angle_gamma 120.00
loop_
_atom_site_label
_atom_site_type_symbol
_atom_site_fract_x
_atom_site_fract_y
_atom_site_fract_z
Ho1 Ho 0.0000 0.0000 0.2500
Zn1 Zn 0.3333 0.6667 0.0834
Au1 Au 0.0000 0.0000 0.0000
Au2 Au 0.3333 0.6667 0.6325
```


DFT (PBE) results for a relaxed structure of ReMo4W3.

Calculated values
For the distance to the lowest polymorph of the same formula, the calculation gives 0 meV/atom. For the calculated formation energy, the calculation gives 0.012 eV per atom.

Cell and atoms, written as CIF:
```
data_ReMo4W3
_chemical_formula_sum 'Re1 Mo4 W3'
_space_group_name_H-M_alt 'P 4/m m m'
_space_group_IT_number 123
_space_group_name_Hall '-P 4 2'
_cell_length_a 4.4671
_cell_length_b 4.4671
_cell_length_c 6.3562
_cell_angle_alpha 90.00
_cell_angle_beta 90.00
_cell_angle_gamma 90.00
loop_
_atom_site_label
_atom_site_type_symbol
_atom_site_fract_x
_atom_site_fract_y
_atom_site_fract_z
Re1 Re 0.0000 0.0000 0.0000
Mo1 Mo 0.0000 0.5000 0.2498
W1 W 0.0000 0.0000 0.5000
W2 W 0.5000 0.5000 0.0000
W3 W 0.5000 0.5000 0.5000
```


DFT (PBE) results for a relaxed structure of Cs2ScPb2.

Calculated values
For the calculated formation energy, the calculation gives 0.081 eV per atom.

Cell and atoms, written as CIF:
```
data_Cs2ScPb2
_chemical_formula_sum 'Cs4 Sc2 Pb4'
_space_group_name_H-M_alt 'P 4/m b m'
_space_group_IT_number 127
_space_group_name_Hall '-P 4 2ab'
_cell_length_a 8.0043
_cell_length_b 8.0043
_cell_length_c 6.7563
_cell_angle_alpha 90.00
_cell_angle_beta 90.00
_cell_angle_gamma 90.00
loop_
_atom_site_label
_atom_site_type_symbol
_atom_site_fract_x
_atom_site_fract_y
_atom_site_fract_z
Cs1 Cs 0.1657 0.3343 0.0000
Sc1 Sc 0.0000 0.0000 0.5000
Pb1 Pb 0.1607 0.6607 0.5000
```


Copy entry 5 word for word.
DFT (PBE) results for a relaxed structure of ReMo4W3.

Calculated values
For the distance to the lowest polymorph of the same formula, the calculation gives 0 meV/atom. For the calculated formation energy, the calculation gives 0.012 eV per atom.

Cell and atoms, written as CIF:
```
data_ReMo4W3
_chemical_formula_sum 'Re1 Mo4 W3'
_space_group_name_H-M_alt 'P 4/m m m'
_space_group_IT_number 123
_space_group_name_Hall '-P 4 2'
_cell_length_a 4.4671
_cell_length_b 4.4671
_cell_length_c 6.3562
_cell_angle_alpha 90.00
_cell_angle_beta 90.00
_cell_angle_gamma 90.00
loop_
_atom_site_label
_atom_site_type_symbol
_atom_site_fract_x
_atom_site_fract_y
_atom_site_fract_z
Re1 Re 0.0000 0.0000 0.0000
Mo1 Mo 0.0000 0.5000 0.2498
W1 W 0.0000 0.0000 0.5000
W2 W 0.5000 0.5000 0.0000
W3 W 0.5000 0.5000 0.5000
```


What did the sixth record say?
DFT (PBE) results for a relaxed structure of Cs2ScPb2.

Calculated values
For the calculated formation energy, the calculation gives 0.081 eV per atom.

Cell and atoms, written as CIF:
```
data_Cs2ScPb2
_chemical_formula_sum 'Cs4 Sc2 Pb4'
_space_group_name_H-M_alt 'P 4/m b m'
_space_group_IT_number 127
_space_group_name_Hall '-P 4 2ab'
_cell_length_a 8.0043
_cell_length_b 8.0043
_cell_length_c 6.7563
_cell_angle_alpha 90.00
_cell_angle_beta 90.00
_cell_angle_gamma 90.00
loop_
_atom_site_label
_atom_site_type_symbol
_atom_site_fract_x
_atom_site_fract_y
_atom_site_fract_z
Cs1 Cs 0.1657 0.3343 0.0000
Sc1 Sc 0.0000 0.0000 0.5000
Pb1 Pb 0.1607 0.6607 0.5000
```


Copy entry 2 word for word.
DFT (PBE) results for a relaxed structure of InPt2Cl.

Calculated values
Its uncorrected formation energy is 0.090 eV/atom. For the distance to the lowest polymorph of the same formula, the calculation gives 195 meV/atom.

Cell and atoms, written as CIF:
```
data_InPt2Cl
_chemical_formula_sum 'In4 Pt8 Cl4'
_space_group_name_H-M_alt 'I -4 2 d'
_space_group_IT_number 122
_space_group_name_Hall 'I -4 2bw'
_cell_length_a 4.0486
_cell_length_b 4.0486
_cell_length_c 18.8734
_cell_angle_alpha 90.00
_cell_angle_beta 90.00
_cell_angle_gamma 90.00
loop_
_atom_site_label
_atom_site_type_symbol
_atom_site_fract_x
_atom_site_fract_y
_atom_site_fract_z
In1 In 0.0000 0.0000 0.0000
Pt1 Pt 0.2467 0.2500 0.1250
Cl1 Cl 0.0000 0.0000 0.5000
```